# 1
The following is a GGA-PBE calculation of TbCd3Pt2 after structural relaxation, from Alexandria.

## Properties
Space-group type: Immm, No. 71
ΔH_f (0 K): -0.573 eV/atom
Magnetic moment: 0.00 μB/f.u.
Raw total energy: -3.8155 eV/atom

Geometry as POSCAR:
```
TbCd3Pt2
1.0
-1.9648 4.7579 6.9274
1.9648 -4.7579 6.9274
1.9648 4.7579 -6.9274
Tb Cd Pt
2 6 4
direct
0.1318 0.1318 0.0000 Tb
0.8682 0.8682 0.0000 Tb
0.1212 0.3273 0.7938 Cd
0.3531 0.0000 0.3531 Cd
0.4665 0.6727 0.7938 Cd
0.5335 0.3273 0.2062 Cd
0.6469 0.0000 0.6469 Cd
0.8788 0.6727 0.2062 Cd
0.1423 0.5000 0.6423 Pt
0.2922 0.7922 0.5000 Pt
0.7078 0.2078 0.5000 Pt
0.8577 0.5000 0.3577 Pt
```



# 2
The following is a GGA-PBE calculation of Tb6Cd5Pt after structural relaxation, from Alexandria.

## Properties
Space-group type: C2/m, No. 12
ΔH_f (0 K): -0.478 eV/atom
Magnetic moment: 0.00 μB/f.u.
Raw total energy: -3.6780 eV/atom

Geometry as POSCAR:
```
Tb6Cd5Pt
1.0
8.2282 -3.7609 0.0000
8.2282 3.7609 0.0000
-1.6313 0.0000 4.9433
Tb Cd Pt
6 5 1
direct
0.0779 0.6083 0.3435 Tb
0.2265 0.7735 0.0000 Tb
0.3917 0.9221 0.6565 Tb
0.6083 0.0779 0.3435 Tb
0.7735 0.2265 0.0000 Tb
0.9221 0.3917 0.6565 Tb
0.1850 0.1850 0.1845 Cd
0.3331 0.3331 0.8337 Cd
0.5000 0.5000 0.5000 Cd
0.6669 0.6669 0.1663 Cd
0.8151 0.8151 0.8155 Cd
0.0000 0.0000 0.5000 Pt
```



# 3
The following is a GGA-PBE calculation of TbCdPt3 after structural relaxation, from Alexandria.

## Properties
Space-group type: P6_3/mmc, No. 194
ΔH_f (0 K): -0.496 eV/atom
Magnetic moment: 0.00 μB/f.u.
Raw total energy: -5.2300 eV/atom

Geometry as POSCAR:
```
TbCdPt3
1.0
6.5955 0.0000 0.0000
-3.2978 5.7119 0.0000
0.0000 0.0000 5.4842
Tb Cd Pt
2 2 6
direct
0.3333 0.6667 0.2500 Tb
0.6667 0.3333 0.7500 Tb
0.0000 0.0000 0.0000 Cd
0.0000 0.0000 0.5000 Cd
0.2016 0.4032 0.7500 Pt
0.2016 0.7984 0.7500 Pt
0.4032 0.2016 0.2500 Pt
0.5968 0.7984 0.7500 Pt
0.7984 0.2016 0.2500 Pt
0.7984 0.5968 0.2500 Pt
```



# 4
The following is a GGA-PBE calculation of Tb2CdPt after structural relaxation, from Alexandria.

## Properties
Space-group type: P4/mmm, No. 123
ΔH_f (0 K): -0.779 eV/atom
Excess energy over the best structure of this formula in the dataset: 0 meV/atom
Magnetic moment: 0.00 μB/f.u.
Raw total energy: -4.8329 eV/atom

Geometry as POSCAR:
```
Tb2CdPt
1.0
3.6096 0.0000 0.0000
0.0000 3.6096 0.0000
0.0000 0.0000 7.3601
Tb Cd Pt
2 1 1
direct
0.0000 0.0000 0.2236 Tb
0.0000 0.0000 0.7764 Tb
0.5000 0.5000 0.5000 Cd
0.5000 0.5000 0.0000 Pt
```